TiTlFe2O6 after structural relaxation. Source: Alexandria, functional PBE with a Hubbard U.

Computed properties:
VASP energy in eV per formula unit: -66.62
SG: P1 (1)

a = 5.2156 Å, b = 5.2160 Å, c = 5.6619 Å
α = 90.82°, β = 116.73°, γ = 119.61°
Fractional coordinates of all 10 atoms:
Ti  0.0000  0.0000  0.0000
Tl  0.0390  0.5184  0.5586
Fe  0.5792  0.7882  0.3695
Fe  0.6056  0.3036  0.9125
O  0.0695  0.3725  0.1598
O  0.1211  0.1678  0.7074
O  0.4510  0.0822  0.1576
O  0.5366  0.9506  0.6993
O  0.7491  0.5822  0.7048
O  0.7794  0.7065  0.1585